1.
BaIrRh2: single point on PBEsol structure, meta-GGA SCAN.

- E_form (eV per atom) = 0.824
- E above lowest polymorph (meV/atom) = 934

Cell lengths 2.932, 4.822, 5.174 Å; angles 90.00, 90.00, 90.00 degrees
Space group Pmmm (No. 47)
Asymmetric unit:
Ba  0.000  0.000  0.000 (multiplicity 1)
Ir  0.500  0.000  0.500 (multiplicity 1)
Rh  0.000  0.500  0.500 (multiplicity 1)
Rh  0.500  0.500  0.000 (multiplicity 1)

***

2.
CaSi2Ni: single point on PBEsol structure, meta-GGA SCAN.

- uncorrected formation energy (eV per atom) = -0.524

Cell lengths 3.8561, 3.8561, 16.2339 Å; angles 90.00, 90.00, 120.00 degrees
Space group R3m (No. 160, hexagonal axes)
Asymmetric unit:
Ca  0.0000  0.0000  0.0000 (multiplicity 3)
Si  0.0000  0.0000  0.2048 (multiplicity 3)
Si  0.0000  0.0000  0.4588 (multiplicity 3)
Ni  0.0000  0.0000  0.8152 (multiplicity 3)

***

3.
SrMg2Ru: single point on PBEsol structure, meta-GGA SCAN.

- E_form (eV per atom) = 0.113

Cell lengths 4.6073, 4.6073, 16.1800 Å; angles 90.00, 90.00, 120.00 degrees
Space group R3m (No. 160, hexagonal axes)
Asymmetric unit:
Sr  0.0000  0.0000  0.0000 (multiplicity 3)
Mg  0.0000  0.0000  0.5240 (multiplicity 3)
Mg  0.0000  0.0000  0.8026 (multiplicity 3)
Ru  0.0000  0.0000  0.1926 (multiplicity 3)

***

4.
MoPt2: single point on PBEsol structure, meta-GGA SCAN.

- E_form (eV per atom) = -0.349
- E above lowest polymorph (meV/atom) = 94

Cell lengths 10.240, 2.746, 6.585 Å; angles 90.00, 104.89, 90.00 degrees
Space group C2/m (No. 12)
Asymmetric unit:
Mo  0.025  0.000  0.305 (multiplicity 4)
Pt  0.136  0.500  0.031 (multiplicity 4)
Pt  0.186  0.500  0.630 (multiplicity 4)

***

5.
GaPI2O: single point on PBEsol structure, meta-GGA SCAN.

- uncorrected formation energy (eV per atom) = -0.214

Cell lengths 5.664, 5.664, 3.572 Å; angles 90.00, 90.00, 90.00 degrees
Space group P4/mmm (No. 123)
Asymmetric unit:
Ga  0.000  0.000  0.000 (multiplicity 1)
P  0.500  0.500  0.500 (multiplicity 1)
I  0.000  0.500  0.500 (multiplicity 2)
O  0.500  0.500  0.000 (multiplicity 1)

***

6.
MgCu2Br: single point on PBEsol structure, meta-GGA SCAN.

- uncorrected formation energy (eV per atom) = 0.160
- E above lowest polymorph (meV/atom) = 275

Cell lengths 5.156, 10.483, 3.268 Å; angles 90.00, 128.81, 90.00 degrees
Space group C2/m (No. 12)
Asymmetric unit:
Mg  0.000  0.000  0.000 (multiplicity 2)
Cu  0.250  0.250  0.000 (multiplicity 4)
Br  0.000  0.500  0.000 (multiplicity 2)

***

7.
LiSbPt2: single point on PBEsol structure, meta-GGA SCAN.

- uncorrected formation energy (eV per atom) = -0.555

Cell lengths 3.895, 3.895, 8.214 Å; angles 90.00, 90.00, 90.00 degrees
Space group I-4m2 (No. 119)
Asymmetric unit:
Li  0.000  0.000  0.000 (multiplicity 2)
Sb  0.000  0.500  0.250 (multiplicity 2)
Pt  0.000  0.000  0.500 (multiplicity 2)
Pt  0.000  0.500  0.750 (multiplicity 2)

***

8.
YInPt2: single point on PBEsol structure, meta-GGA SCAN.

- E_form (eV per atom) = -1.079

Cell lengths 4.228, 3.688, 10.186 Å; angles 90.00, 90.00, 90.00 degrees
Space group Amm2 (No. 38)
Asymmetric unit:
Y  0.000  0.000  0.000 (multiplicity 2)
In  0.500  0.000  0.290 (multiplicity 2)
Pt  0.000  0.000  0.727 (multiplicity 2)
Pt  0.500  0.000  0.559 (multiplicity 2)

***

9.
K2PbClO: single point on PBEsol structure, meta-GGA SCAN.

- uncorrected formation energy (eV per atom) = -1.141

Cell lengths 5.324, 5.324, 4.752 Å; angles 90.00, 90.00, 90.00 degrees
Space group P4/mmm (No. 123)
Asymmetric unit:
K  0.000  0.500  0.000 (multiplicity 2)
Pb  0.000  0.000  0.500 (multiplicity 1)
Cl  0.500  0.500  0.500 (multiplicity 1)
O  0.000  0.000  0.000 (multiplicity 1)

***

10.
Al17Zn12: single point on PBEsol structure, meta-GGA SCAN.

- E_form (eV per atom) = 0.016

Cell lengths 9.790, 9.790, 9.790 Å; angles 90.00, 90.00, 90.00 degrees
Space group I-43m (No. 217)
Asymmetric unit:
Al  0.000  0.000  0.000 (multiplicity 2)
Al  0.048  0.360  0.640 (multiplicity 24)
Al  0.166  0.166  0.166 (multiplicity 8)
Zn  0.095  0.095  0.715 (multiplicity 24)

***

11.
Ga3HgSe: single point on PBEsol structure, meta-GGA SCAN.

- uncorrected formation energy (eV per atom) = 0.518

Cell lengths 4.998, 4.998, 4.998 Å; angles 90.00, 90.00, 90.00 degrees
Space group Pm-3m (No. 221)
Asymmetric unit:
Ga  0.000  0.000  0.500 (multiplicity 3)
Hg  0.500  0.500  0.500 (multiplicity 1)
Se  0.000  0.000  0.000 (multiplicity 1)

***

12.
Cd2OsSe: single point on PBEsol structure, meta-GGA SCAN.

- uncorrected formation energy (eV per atom) = 0.233

Cell lengths 3.046, 4.394, 12.113 Å; angles 90.00, 90.00, 90.00 degrees
Space group Amm2 (No. 38)
Asymmetric unit:
Cd  0.000  0.000  0.000 (multiplicity 2)
Cd  0.500  0.000  0.331 (multiplicity 2)
Os  0.000  0.000  0.777 (multiplicity 2)
Se  0.500  0.000  0.623 (multiplicity 2)

***

13.
K2SbP: single point on PBEsol structure, meta-GGA SCAN.

- uncorrected formation energy (eV per atom) = -0.153
- E above lowest polymorph (meV/atom) = 276

Cell lengths 3.157, 5.188, 6.251 Å; angles 90.00, 90.00, 90.00 degrees
Space group Pmmm (No. 47)
Asymmetric unit:
K  0.000  0.000  0.236 (multiplicity 2)
Sb  0.500  0.500  0.500 (multiplicity 1)
P  0.500  0.500  0.000 (multiplicity 1)

***

14.
OsRu3S: single point on PBEsol structure, meta-GGA SCAN.

- uncorrected formation energy (eV per atom) = 1.091

Cell lengths 4.209, 4.209, 4.209 Å; angles 90.00, 90.00, 90.00 degrees
Space group Pm-3m (No. 221)
Asymmetric unit:
Os  0.000  0.000  0.000 (multiplicity 1)
Ru  0.000  0.500  0.500 (multiplicity 3)
S  0.500  0.500  0.500 (multiplicity 1)

***

15.
Li3Cu: single point on PBEsol structure, meta-GGA SCAN.

- E_form (eV per atom) = 0.045

Cell lengths 3.882, 3.882, 3.882 Å; angles 90.00, 90.00, 90.00 degrees
Space group Pm-3m (No. 221)
Asymmetric unit:
Li  0.000  0.000  0.500 (multiplicity 3)
Cu  0.500  0.500  0.500 (multiplicity 1)

***

16.
ZrPt: single point on PBEsol structure, meta-GGA SCAN.

- E_form (eV per atom) = -1.389

Cell lengths 3.392, 10.306, 4.269 Å; angles 90.00, 90.00, 90.00 degrees
Space group Cmcm (No. 63)
Asymmetric unit:
Zr  0.000  0.142  0.250 (multiplicity 4)
Pt  0.000  0.409  0.250 (multiplicity 4)

***

17.
V3CuP6O24: single point on PBEsol structure, meta-GGA SCAN.

- uncorrected formation energy (eV per atom) = -2.266

Cell lengths 8.2817, 8.2817, 21.4729 Å; angles 90.00, 90.00, 120.00 degrees
Space group R3 (No. 146, hexagonal axes)
Asymmetric unit:
V  0.0000  0.0000  0.0000 (multiplicity 3)
V  0.0000  0.0000  0.2178 (multiplicity 3)
V  0.0000  0.0000  0.4951 (multiplicity 3)
Cu  0.0000  0.0000  0.7136 (multiplicity 3)
P  0.0536  0.6681  0.7735 (multiplicity 9)
P  0.0571  0.3859  0.2754 (multiplicity 9)
O  0.0011  0.8211  0.4468 (multiplicity 9)
O  0.0098  0.8239  0.1674 (multiplicity 9)
O  0.0140  0.1901  0.5478 (multiplicity 9)
O  0.0633  0.8573  0.0516 (multiplicity 9)
O  0.0817  0.8617  0.7680 (multiplicity 9)
O  0.1577  0.4781  0.9322 (multiplicity 9)
O  0.1874  0.4552  0.6205 (multiplicity 9)
O  0.1913  0.4440  0.3298 (multiplicity 9)

***

18.
TmFe4Si2: single point on PBEsol structure, meta-GGA SCAN.

- uncorrected formation energy (eV per atom) = -0.377

Cell lengths 6.936, 6.936, 3.682 Å; angles 90.00, 90.00, 90.00 degrees
Space group P4_2/mnm (No. 136)
Asymmetric unit:
Tm  0.000  0.000  0.000 (multiplicity 2)
Fe  0.086  0.354  0.500 (multiplicity 8)
Si  0.219  0.781  0.500 (multiplicity 4)

***

19.
Eu2GeS4: single point on PBEsol structure, meta-GGA SCAN.

- uncorrected formation energy (eV per atom) = -1.551

Cell lengths 6.553, 6.489, 7.926 Å; angles 90.00, 107.92, 90.00 degrees
Space group P2_1/m (No. 11)
Asymmetric unit:
Eu  0.226  0.250  0.057 (multiplicity 2)
Eu  0.255  0.250  0.563 (multiplicity 2)
Ge  0.233  0.750  0.804 (multiplicity 2)
S  0.001  0.009  0.744 (multiplicity 4)
S  0.414  0.750  0.092 (multiplicity 2)
S  0.420  0.750  0.614 (multiplicity 2)

***

20.
ZrAl4Si2: single point on PBEsol structure, meta-GGA SCAN.

- uncorrected formation energy (eV per atom) = 0.132

Cell lengths 4.3160, 4.3160, 8.4204 Å; angles 90.00, 90.00, 120.00 degrees
Space group P-3m1 (No. 164)
Asymmetric unit:
Zr  0.0000  0.0000  0.0000 (multiplicity 1)
Al  0.3333  0.6667  0.2175 (multiplicity 2)
Al  0.3333  0.6667  0.8306 (multiplicity 2)
Si  0.3333  0.6667  0.5292 (multiplicity 2)

***

21.
BaCa2Cd2: single point on PBEsol structure, meta-GGA SCAN.

- E_form (eV per atom) = -0.267
- E above lowest polymorph (meV/atom) = 17

Cell lengths 5.111, 5.111, 13.640 Å; angles 90.00, 90.00, 90.00 degrees
Space group I4/mmm (No. 139)
Asymmetric unit:
Ba  0.000  0.000  0.000 (multiplicity 2)
Ca  0.000  0.500  0.250 (multiplicity 4)
Cd  0.000  0.000  0.397 (multiplicity 4)

***

22.
LaCoP2: single point on PBEsol structure, meta-GGA SCAN.

- E_form (eV per atom) = -0.500
- E above lowest polymorph (meV/atom) = 305

Cell lengths 3.889, 5.754, 6.423 Å; angles 90.00, 90.00, 90.00 degrees
Space group Cmmm (No. 65)
Asymmetric unit:
La  0.000  0.000  0.000 (multiplicity 2)
Co  0.000  0.000  0.500 (multiplicity 2)
P  0.000  0.500  0.322 (multiplicity 4)

***

23.
K2CrFe: single point on PBEsol structure, meta-GGA SCAN.

- E_form (eV per atom) = 1.153
- E above lowest polymorph (meV/atom) = 455

Cell lengths 6.417, 10.987, 3.056 Å; angles 90.00, 90.29, 90.00 degrees
Space group C2/m (No. 12)
Asymmetric unit:
K  0.250  0.250  0.000 (multiplicity 4)
Cr  0.000  0.000  0.500 (multiplicity 2)
Fe  0.000  0.500  0.500 (multiplicity 2)

***

24.
InFeAg2: single point on PBEsol structure, meta-GGA SCAN.

- E_form (eV per atom) = 0.183

Cell lengths 2.910, 2.910, 7.710 Å; angles 90.00, 90.00, 90.00 degrees
Space group P4mm (No. 99)
Asymmetric unit:
In  0.000  0.000  0.000 (multiplicity 1)
Fe  0.500  0.500  0.760 (multiplicity 1)
Ag  0.000  0.000  0.536 (multiplicity 1)
Ag  0.500  0.500  0.278 (multiplicity 1)

***

25.
Co3Mo: single point on PBEsol structure, meta-GGA SCAN.

- E_form (eV per atom) = 0.179

Cell lengths 3.538, 3.538, 14.166 Å; angles 90.00, 90.00, 90.00 degrees
Space group I4/mmm (No. 139)
Asymmetric unit:
Co  0.000  0.000  0.121 (multiplicity 4)
Co  0.000  0.500  0.000 (multiplicity 4)
Co  0.000  0.500  0.250 (multiplicity 4)
Mo  0.000  0.000  0.373 (multiplicity 4)

***

no.,total magnetic moment (μB per atom),calculated total energy (eV/atom)
1,0.26,-43.72
2,0.00,-11.99
3,0.00,-16.65
4,0.00,-58.77
5,0.00,-21.51
6,0.00,-13.55
7,0.00,-45.56
8,0.00,-51.48
9,0.00,-22.47
10,0.00,-10.12
11,0.00,-26.94
12,0.00,-37.96
13,0.00,-16.23
14,0.00,-36.11
15,0.01,-5.55
16,0.00,-51.84
17,0.05,-10.49
18,1.02,-21.00
19,0.01,-25.13
20,0.00,-11.54
21,0.00,-24.21
22,0.25,-20.80
23,2.04,-12.14
24,0.73,-28.38
25,0.41,-21.52